Below is a relaxed structure of KMg2SnSe4, with properties calculated at the GGA-PBE level.

For the uncorrected formation energy, the calculation gives -0.828 eV/atom.

The structure belongs to space group Cmcm (No. 63); the cell edges are 3.952, 14.592 and 15.591 Å and the angles 90.00°, 90.00° and 90.00°. The inequivalent atoms are K at (0.000, 0.143, 0.250), Mg at (0.000, 0.378, 0.031), Sn at (0.000, 0.148, 0.750), Se at (0.000, 0.000, 0.000), Se at (0.000, 0.237, 0.595) and Se at (0.000, 0.472, 0.250).


Below is a relaxed structure of LiThNi10, with properties calculated at the GGA-PBE level.

The electronic total energy comes out at -5.738 eV/atom.

The structure belongs to space group Pmmm (No. 47); the cell edges are 3.998, 4.821 and 8.341 Å and the angles 90.00°, 90.00° and 90.00°. The inequivalent atoms are Li at (0.000, 0.000, 0.000), Th at (0.000, 0.500, 0.500), Ni at (0.000, 0.000, 0.317), Ni at (0.000, 0.500, 0.157), Ni at (0.500, 0.000, 0.500), Ni at (0.500, 0.250, 0.246) and Ni at (0.500, 0.500, 0.000).


Below is a relaxed structure of Ta2InRe, with properties calculated at the GGA-PBE level.

The electronic total energy comes out at -9.603 eV/atom.

The structure belongs to space group Pm (No. 6); the cell edges are 2.877, 4.650 and 5.482 Å and the angles 90.00°, 100.23° and 90.00°. The inequivalent atoms are Ta at (0.000, 0.000, 0.000), Ta at (0.276, 0.500, 0.731), In at (0.640, 0.500, 0.246) and Re at (0.535, 0.000, 0.535).


Below is a relaxed structure of Cs3Ho3TiSe8, with properties calculated at the GGA-PBE level.

For the uncorrected formation energy, the calculation gives -1.581 eV/atom.

The structure belongs to space group R-3m (No. 166, hexagonal axes); the cell edges are 8.1959, 8.1959 and 25.6303 Å and the angles 90.00°, 90.00° and 120.00°. The inequivalent atoms are Cs at (0.0000, 0.5000, 0.0000), Ho at (0.0000, 0.5000, 0.5000), Ti at (0.0000, 0.0000, 0.5000), Se at (0.0000, 0.0000, 0.2286) and Se at (0.0243, 0.5121, 0.2250).


Below is a relaxed structure of Sc2CrFe, with properties calculated at the GGA-PBE level.

The electronic total energy comes out at -7.577 eV/atom.

The structure belongs to space group Fm-3m (No. 225); the cell edges are 6.426, 6.426 and 6.426 Å and the angles 90.00°, 90.00° and 90.00°. The inequivalent atoms are Sc at (0.250, 0.250, 0.250), Cr at (0.000, 0.000, 0.000) and Fe at (0.000, 0.000, 0.500).


Below is a relaxed structure of Li5TlFeN2, with properties calculated at the GGA-PBE level.

For the uncorrected formation energy, the calculation gives -0.187 eV/atom.

The structure belongs to space group P4/mmm (No. 123); the cell edges are 4.109, 4.109 and 7.734 Å and the angles 90.00°, 90.00° and 90.00°. The inequivalent atoms are Li at (0.000, 0.000, 0.000), Li at (0.000, 0.500, 0.282), Tl at (0.500, 0.500, 0.000), Fe at (0.000, 0.000, 0.500) and N at (0.000, 0.000, 0.266).


no.,mass density (Mg/m³)
1,3.9
2,8.5
3,15.3
4,5.3
5,5.0
6,4.1